{
  "formula": "MgZn2Rh",
  "functional": "GGA-PBE",
  "state": "relaxed",
  "density_g_cm3": 6.020,
  "formation_enthalpy_0k_ev_per_atom": 0.019,
  "crystal_system": "orthorhombic",
  "dft_energy_ev_per_cell": -11.42,
  "sg": "Immm",
  "lattice": [[-0.6104, 4.0320, -4.8229], [-3.6216, -3.3489, 3.9444], [0.7556, -1.5075, 6.0865]],
  "species": ["Rh", "Zn", "Zn", "Mg"],
  "fractional_positions": [[0.0000, 0.5000, 0.5000], [0.0000, 0.2851, 0.2851], [0.0000, 0.7150, 0.7150], [0.0000, 0.0000, 0.0000]]
}

{
  "formula": "MgZn4Rh2",
  "functional": "GGA-PBE",
  "state": "relaxed",
  "density_g_cm3": 7.328,
  "formation_enthalpy_0k_ev_per_atom": -0.261,
  "crystal_system": "tetragonal",
  "dft_energy_ev_per_cell": -23.22,
  "polymorph_energy_kcal_per_mol_atoms": 0.00,
  "sg": "I4/mmm",
  "lattice": [[5.2388, 0.0216, -3.0091], [-1.7367, 4.9427, -3.0091], [-0.5144, -0.7292, 5.1811]],
  "species": ["Rh", "Rh", "Zn", "Zn", "Zn", "Zn", "Mg"],
  "fractional_positions": [[0.7857, 0.2859, 0.5715], [0.2859, 0.7857, 0.5715], [0.7860, 0.7860, 0.0719], [0.2855, 0.2855, 0.0711], [0.2857, 0.7857, 0.0714], [0.7857, 0.2857, 0.0714], [0.7855, 0.7855, 0.5712]]
}

{
  "formula": "MgZn3Rh",
  "functional": "GGA-PBE",
  "state": "relaxed",
  "density_g_cm3": 6.652,
  "formation_enthalpy_0k_ev_per_atom": -0.254,
  "crystal_system": "monoclinic",
  "dft_energy_ev_per_cell": -28.08,
  "polymorph_energy_kcal_per_mol_atoms": 0.00,
  "sg": "P2_1/m",
  "lattice": [[-3.7061, 0.6684, -3.0328], [-2.3764, -4.1743, 1.9840], [-2.8497, 3.7145, 4.4019]],
  "species": ["Mg", "Mg", "Zn", "Zn", "Zn", "Zn", "Zn", "Zn", "Rh", "Rh"],
  "fractional_positions": [[0.6423, 0.7500, 0.2710], [0.3577, 0.2500, 0.7290], [0.8516, 0.9902, 0.8271], [0.1484, 0.4902, 0.1729], [0.1475, 0.7500, 0.5279], [0.8525, 0.2500, 0.4721], [0.8516, 0.5098, 0.8271], [0.1484, 0.0098, 0.1729], [0.6244, 0.2500, 0.1256], [0.3756, 0.7500, 0.8744]]
}

{
  "formula": "Mg2Zn6Rh",
  "functional": "GGA-PBE",
  "state": "relaxed",
  "density_g_cm3": 6.542,
  "formation_enthalpy_0k_ev_per_atom": -0.185,
  "crystal_system": "tetragonal",
  "dft_energy_ev_per_cell": -39.70,
  "polymorph_energy_kcal_per_mol_atoms": 0.00,
  "sg": "P4_2/mnm",
  "lattice": [[-3.2982, 1.7890, 0.8265], [-4.3482, -6.5827, -3.1032], [-0.0290, -3.5993, 7.6756]],
  "species": ["Zn", "Zn", "Zn", "Zn", "Zn", "Zn", "Zn", "Zn", "Zn", "Zn", "Zn", "Zn", "Rh", "Rh", "Mg", "Mg", "Mg", "Mg"],
  "fractional_positions": [[0.0000, 0.6629, 0.5013], [0.5000, 0.1629, 0.9987], [0.0000, 0.6639, 0.8361], [0.5000, 0.1639, 0.6639], [0.0000, 0.9987, 0.8371], [0.5000, 0.5013, 0.3371], [0.0000, 0.3361, 0.1639], [0.5000, 0.8361, 0.3361], [0.5000, 0.4987, 0.6629], [0.5000, 0.8371, 0.0013], [0.0000, 0.3371, 0.4987], [0.0000, 0.0013, 0.1629], [0.0000, 0.0000, 0.5000], [0.5000, 0.5000, 0.0000], [0.5000, 0.8391, 0.6609], [0.0000, 0.3391, 0.8391], [0.5000, 0.1609, 0.3391], [0.0000, 0.6609, 0.1609]]
}

{
  "formula": "MgZn2Rh4",
  "functional": "GGA-PBE",
  "state": "relaxed",
  "density_g_cm3": 8.762,
  "formation_enthalpy_0k_ev_per_atom": -0.027,
  "crystal_system": "tetragonal",
  "dft_energy_ev_per_cell": -33.74,
  "sg": "I4/mmm",
  "lattice": [[-3.4796, 1.0057, 3.7125], [1.8197, -4.8237, 0.5679], [3.9484, 3.3451, 0.3501]],
  "species": ["Rh", "Rh", "Rh", "Rh", "Zn", "Zn", "Mg"],
  "fractional_positions": [[0.0000, 0.0000, 0.5000], [0.5000, 0.5000, 0.5000], [0.0000, 0.5000, 0.0000], [0.5000, 0.0000, 0.0000], [0.5000, 0.5000, 0.0000], [0.5000, 0.0000, 0.5000], [0.0000, 0.0000, 0.0000]]
}

{
  "formula": "Mg2Zn2Rh",
  "functional": "GGA-PBE",
  "state": "relaxed",
  "density_g_cm3": 5.503,
  "formation_enthalpy_0k_ev_per_atom": -0.159,
  "crystal_system": "tetragonal",
  "dft_energy_ev_per_cell": -27.76,
  "polymorph_energy_kcal_per_mol_atoms": 3.64,
  "sg": "P4/mbm",
  "lattice": [[6.6140, 0.0000, 0.0000], [0.0000, 6.6140, 0.0000], [0.0000, 0.0000, 3.8947]],
  "species": ["Zn", "Zn", "Zn", "Zn", "Rh", "Rh", "Mg", "Mg", "Mg", "Mg"],
  "fractional_positions": [[0.8671, 0.6329, 0.0000], [0.3671, 0.8671, 0.0000], [0.6329, 0.1329, 0.0000], [0.1329, 0.3671, 0.0000], [0.0000, 0.0000, 0.0000], [0.5000, 0.5000, 0.0000], [0.1773, 0.6773, 0.5000], [0.6773, 0.8227, 0.5000], [0.8227, 0.3227, 0.5000], [0.3227, 0.1773, 0.5000]]
}

{
  "formula": "MgZn2Rh",
  "functional": "GGA-PBE",
  "state": "relaxed",
  "density_g_cm3": 7.011,
  "formation_enthalpy_0k_ev_per_atom": -0.304,
  "crystal_system": "tetragonal",
  "dft_energy_ev_per_cell": -12.71,
  "sg": "P4mm",
  "lattice": [[-1.3468, -0.3301, -2.9197], [-0.2953, -3.1807, 0.4958], [-5.2897, 0.8564, 2.3433]],
  "species": ["Zn", "Zn", "Mg", "Rh"],
  "fractional_positions": [[0.0000, 0.0000, 0.9875], [0.5000, 0.5000, 0.2319], [0.0000, 0.0000, 0.5178], [0.5000, 0.5000, 0.7629]]
}

{
  "formula": "Mg4Zn4Rh",
  "functional": "GGA-PBE",
  "state": "relaxed",
  "density_g_cm3": 4.688,
  "formation_enthalpy_0k_ev_per_atom": -0.160,
  "crystal_system": "monoclinic",
  "dft_energy_ev_per_cell": -20.27,
  "sg": "Cm",
  "lattice": [[-4.0614, 2.9209, 2.3882], [5.9867, -3.1096, 2.7745], [3.8354, 3.9687, -0.5184]],
  "species": ["Mg", "Mg", "Mg", "Mg", "Zn", "Zn", "Zn", "Zn", "Rh"],
  "fractional_positions": [[0.3445, 0.1637, 0.5847], [0.0548, 0.6663, 0.3886], [0.6091, 0.8550, 0.7541], [0.7485, 0.1637, 0.1808], [0.0757, 0.3513, 0.7244], [0.5596, 0.6860, 0.3502], [0.0362, 0.6860, 0.8736], [0.5090, 0.4363, 0.0727], [0.0625, 0.9916, 0.0709]]
}

{
  "formula": "MgZn4Rh2",
  "functional": "GGA-PBE",
  "state": "relaxed",
  "density_g_cm3": 5.957,
  "formation_enthalpy_0k_ev_per_atom": 0.532,
  "crystal_system": "tetragonal",
  "dft_energy_ev_per_cell": -17.67,
  "polymorph_energy_kcal_per_mol_atoms": 18.28,
  "sg": "I4/mmm",
  "lattice": [[-4.0370, 0.1578, 2.1958], [0.6519, -4.2950, 1.5073], [1.2723, 0.2364, 7.1368]],
  "species": ["Zn", "Zn", "Zn", "Zn", "Mg", "Rh", "Rh"],
  "fractional_positions": [[0.0000, 0.5000, 0.0000], [0.2077, 0.2077, 0.5845], [0.5000, 0.0000, 0.0000], [0.7923, 0.7923, 0.4155], [0.0000, 0.0000, 0.0000], [0.3970, 0.3970, 0.2059], [0.6030, 0.6030, 0.7941]]
}

{
  "formula": "MgZnRh",
  "functional": "GGA-PBE",
  "state": "relaxed",
  "density_g_cm3": 5.861,
  "formation_enthalpy_0k_ev_per_atom": -0.186,
  "crystal_system": "tetragonal",
  "dft_energy_ev_per_cell": -10.78,
  "sg": "I-4m2",
  "lattice": [[-2.6686, 3.3073, -0.2936], [0.4146, -2.0876, 3.6900], [4.2097, 0.6373, -0.1002]],
  "species": ["Mg", "Rh", "Zn"],
  "fractional_positions": [[0.9444, 0.9721, 0.9165], [0.4444, 0.2222, 0.6667], [0.9445, 0.4723, 0.4168]]
}